DFT (PBE with a Hubbard U) results for NaTmVO4 after structural relaxation.

The structure belongs to space group P2_1/m (No. 11); the cell edges are 5.829, 5.968 and 6.768 Å and the angles 90.00°, 113.21° and 90.00°. Symmetry generates all atoms from Na at (0.180, 0.250, 0.456), Tm at (0.331, 0.250, 0.974), V at (0.225, 0.750, 0.172), O at (0.001, 0.250, 0.091), O at (0.038, 0.750, 0.326) and O at (0.473, 0.533, 0.194).

The calculation puts the electronic total energy at -0.2627 hartree per atom. As for the calculated volume: 216.4 Å³/cell. For the magnetic moment, the calculation gives 0.1429 μB/atom.